w.
## Hg2Ge2I (PBE)

Data for crystalline Hg2Ge2I at its relaxed geometry.

Calculated values
Symmetry ... I4/mmm (139)

Unit cell a=6.5166 b=6.5166 c=6.5166 alpha=135.15 beta=135.15 gamma=65.30
Last column: nearest neighbours and their distance in Å.
Sites, in units of the cell vectors:
Hg  0.2500  0.7500  0.5000  4 Ge 2.89
Hg  0.7500  0.2500  0.5000  4 Ge 2.89
Ge  0.1158  0.1158  0.0000  1 Ge 2.54
Ge  0.8842  0.8842  0.0000  1 Ge 2.54
I  0.5000  0.5000  0.0000  8 Hg 3.70, 8 Ge 3.74



x.
## Hg2Ge2I (PBE)

Data for crystalline Hg2Ge2I at its relaxed geometry.

Calculated values
Symmetry ... P4/mbm (127)

Unit cell a=8.8523 b=8.8523 c=3.3849 alpha=90.00 beta=90.00 gamma=90.00
Last column: nearest neighbours and their distance in Å.
Sites, in units of the cell vectors:
Hg  0.1881  0.3119  0.0000  6 Ge 3.10-3.18, 2 I 3.22, 2 Hg 3.38
Hg  0.3119  0.8119  0.0000  6 Ge 3.10-3.18, 2 I 3.22, 2 Hg 3.38
Hg  0.6881  0.1881  0.0000  6 Ge 3.10-3.18, 2 I 3.22, 2 Hg 3.38
Hg  0.8119  0.6881  0.0000  6 Ge 3.10-3.18, 2 I 3.22, 2 Hg 3.38
Ge  0.1044  0.6044  0.5000  1 Ge 2.61
Ge  0.3956  0.1044  0.5000  1 Ge 2.61
Ge  0.6044  0.8956  0.5000  1 Ge 2.61
Ge  0.8956  0.3956  0.5000  1 Ge 2.61
I  0.0000  0.0000  0.0000  4 Hg 3.22, 2 I 3.38
I  0.5000  0.5000  0.0000  4 Hg 3.22, 2 I 3.38



w is preferred energetically. Next in line: 88 meV per atom higher.



w.
## HgGeIO2 (PBE)

Data for crystalline HgGeIO2 at its relaxed geometry.

Calculated values
Symmetry ... P4/mmm (123)

Unit cell a=3.9579 b=3.9579 c=6.3967 alpha=90.00 beta=90.00 gamma=90.00
Last column: nearest neighbours and their distance in Å.
Sites, in units of the cell vectors:
Hg  0.0000  0.0000  0.0000  4 I 2.80
Ge  0.5000  0.5000  0.5000  4 O 1.98
I  0.5000  0.5000  0.0000  4 Hg 2.80
O  0.0000  0.5000  0.5000  2 Ge 1.98
O  0.5000  0.0000  0.5000  2 Ge 1.98



x.
## HgGeIO2 (PBE)

Data for crystalline HgGeIO2 at its relaxed geometry.

Calculated values
Symmetry ... P4/mmm (123)

Unit cell a=4.2799 b=4.2799 c=6.2435 alpha=90.00 beta=90.00 gamma=90.00
Last column: nearest neighbours and their distance in Å.
Sites, in units of the cell vectors:
Hg  0.0000  0.0000  0.0000  4 O 2.14
Ge  0.5000  0.5000  0.5000  4 I 3.03
I  0.0000  0.0000  0.5000  4 Ge 3.03, 2 Hg 3.12
O  0.0000  0.5000  0.0000  2 Hg 2.14
O  0.5000  0.0000  0.0000  2 Hg 2.14



w is preferred energetically. Next in line: 751 meV per atom higher.



w.
## HgGeTeI2 (PBE)

Data for crystalline HgGeTeI2 at its relaxed geometry.

Calculated values
Symmetry ... P4/mmm (123)

Unit cell a=5.7782 b=5.7782 c=5.7912 alpha=90.00 beta=90.00 gamma=90.00
Last column: nearest neighbours and their distance in Å.
Sites, in units of the cell vectors:
Hg  0.0000  0.0000  0.0000  4 I 2.89, 2 Te 2.90
Ge  0.5000  0.5000  0.5000  4 Te 4.09, 8 I 4.09
Te  0.0000  0.0000  0.5000  2 Hg 2.90
I  0.0000  0.5000  0.0000  2 Hg 2.89
I  0.5000  0.0000  0.0000  2 Hg 2.89



x.
## HgGeTeI2 (PBE)

Data for crystalline HgGeTeI2 at its relaxed geometry.

Calculated values
Symmetry ... P4/mmm (123)

Unit cell a=5.7527 b=5.7527 c=5.5675 alpha=90.00 beta=90.00 gamma=90.00
Last column: nearest neighbours and their distance in Å.
Sites, in units of the cell vectors:
Hg  0.0000  0.0000  0.0000  8 I 4.00, 4 Te 4.07
Ge  0.5000  0.5000  0.5000  2 Te 2.78, 4 I 2.88
Te  0.5000  0.5000  0.0000  2 Ge 2.78
I  0.0000  0.5000  0.5000  2 Ge 2.88
I  0.5000  0.0000  0.5000  2 Ge 2.88



x is preferred energetically. Next in line: 391 meV per atom higher.



w.
## In2Hg2Ge (PBE)

Data for crystalline In2Hg2Ge at its relaxed geometry.

Calculated values
Symmetry ... I4/mmm (139)

Unit cell a=7.8850 b=7.8850 c=7.8850 alpha=148.55 beta=148.55 gamma=45.08
Last column: nearest neighbours and their distance in Å.
Sites, in units of the cell vectors:
In  0.2500  0.7500  0.5000  4 In 3.02, 4 Hg 3.10
In  0.7500  0.2500  0.5000  4 In 3.02, 4 Hg 3.10
Hg  0.0961  0.0961  0.0000  1 Hg 2.80, 4 In 3.10
Hg  0.9039  0.9039  0.0000  1 Hg 2.80, 4 In 3.10
Ge  0.5000  0.5000  0.0000  8 Hg 3.33



x.
## In2Hg2Ge (PBE)

Data for crystalline In2Hg2Ge at its relaxed geometry.

Calculated values
Symmetry ... I4/mmm (139)

Unit cell a=8.5476 b=8.5476 c=8.5476 alpha=152.29 beta=152.29 gamma=39.59
Last column: nearest neighbours and their distance in Å.
Sites, in units of the cell vectors:
In  0.0928  0.0928  0.0000  1 In 2.99, 4 Hg 3.25, 4 Ge 3.26
In  0.9072  0.9072  0.0000  1 In 2.99, 4 Hg 3.25, 4 Ge 3.26
Hg  0.2500  0.7500  0.5000  4 Hg 2.89
Hg  0.7500  0.2500  0.5000  4 Hg 2.89
Ge  0.5000  0.5000  0.0000  8 In 3.26



y.
## In2Hg2Ge (PBE)

Data for crystalline In2Hg2Ge at its relaxed geometry.

Calculated values
Symmetry ... P4/mbm (127)

Unit cell a=7.7832 b=7.7832 c=4.2677 alpha=90.00 beta=90.00 gamma=90.00
Last column: nearest neighbours and their distance in Å.
Sites, in units of the cell vectors:
In  0.1605  0.3395  0.0000  6 Hg 3.02-3.20
In  0.3395  0.8395  0.0000  6 Hg 3.02-3.20
In  0.6605  0.1605  0.0000  6 Hg 3.02-3.20
In  0.8395  0.6605  0.0000  6 Hg 3.02-3.20
Hg  0.1457  0.6457  0.5000  2 Ge 2.98, 6 In 3.02-3.20, 1 Hg 3.21
Hg  0.3543  0.1457  0.5000  2 Ge 2.98, 6 In 3.02-3.20, 1 Hg 3.21
Hg  0.6457  0.8543  0.5000  2 Ge 2.98, 6 In 3.02-3.20, 1 Hg 3.21
Hg  0.8543  0.3543  0.5000  2 Ge 2.98, 6 In 3.02-3.20, 1 Hg 3.21
Ge  0.0000  0.0000  0.5000  4 Hg 2.98
Ge  0.5000  0.5000  0.5000  4 Hg 2.98



z.
## In2Hg2Ge (PBE)

Data for crystalline In2Hg2Ge at its relaxed geometry.

Calculated values
Symmetry ... P4/mbm (127)

Unit cell a=7.7078 b=7.7078 c=4.4076 alpha=90.00 beta=90.00 gamma=90.00
Last column: nearest neighbours and their distance in Å.
Sites, in units of the cell vectors:
In  0.1524  0.3476  0.0000  2 Ge 2.93, 6 Hg 3.05-3.23
In  0.3476  0.8476  0.0000  2 Ge 2.93, 6 Hg 3.05-3.23
In  0.6524  0.1524  0.0000  2 Ge 2.93, 6 Hg 3.05-3.23
In  0.8476  0.6524  0.0000  2 Ge 2.93, 6 Hg 3.05-3.23
Hg  0.1545  0.6545  0.5000  6 In 3.05-3.23, 1 Hg 3.37
Hg  0.3455  0.1545  0.5000  6 In 3.05-3.23, 1 Hg 3.37
Hg  0.6545  0.8455  0.5000  6 In 3.05-3.23, 1 Hg 3.37
Hg  0.8455  0.3455  0.5000  6 In 3.05-3.23, 1 Hg 3.37
Ge  0.0000  0.0000  0.0000  4 In 2.93
Ge  0.5000  0.5000  0.0000  4 In 2.93



z is preferred energetically. Next in line: 12 meV per atom higher.